{"formula": "CeTh5Hg6", "functional": "PBE", "state": "optimized geometry", "e_tot_ev_per_atom": -3.94, "delta_e_f_kj_per_mol_fu": -234, "lattice_angstrom": [[8.615, -3.778, 0.000], [8.615, 3.778, 0.000], [-1.721, 0.000, 5.182]], "species": ["Ce", "Th", "Th", "Th", "Th", "Th", "Hg", "Hg", "Hg", "Hg", "Hg", "Hg"], "fractional_positions": [[0.000, 0.000, 0.000], [0.171, 0.171, 0.671], [0.335, 0.335, 0.336], [0.500, 0.500, 0.000], [0.665, 0.665, 0.664], [0.829, 0.829, 0.329], [0.081, 0.590, 0.836], [0.241, 0.759, 0.500], [0.410, 0.919, 0.164], [0.590, 0.081, 0.836], [0.759, 0.241, 0.500], [0.919, 0.410, 0.164]]}